No. 1
A plane-wave DFT calculation with PBE was carried out for a geometry-optimized KZnHg2 structure.

Summary:
ΔH_f (0 K)   -0.07 eV per atom

```
KZnHg2
1.0
-2.0053 7.0465 -4.2079
-5.6145 5.8449 -2.3862
-2.7424 7.9896 -0.1636
Hg Zn K
2 1 1
direct
0.5204 0.5204 0.5204 Hg
0.9796 0.9796 0.9796 Hg
0.2500 0.2500 0.2500 Zn
0.7500 0.7500 0.7500 K
```

***

No. 2
A plane-wave DFT calculation with PBE was carried out for a geometry-optimized PmBiF structure.

Summary:
Energy relative to the elements, uncorrected   -2.0378 eV/atom
Polymorph energy (0 for the lowest one)   49 meV/atom

```
PmBiF
1.0
4.0892 0.0000 0.0000
-2.0446 3.5413 0.0000
0.0000 0.0000 5.0117
Bi Pm F
1 1 1
direct
0.0000 0.0000 0.0000 Bi
0.6667 0.3333 0.4999 Pm
0.3333 0.6667 0.5001 F
```

***

No. 3
A plane-wave DFT calculation with PBE was carried out for a geometry-optimized AgSbP2O8 structure.

Summary:
Energy relative to the elements, uncorrected   -1.6389 eV/atom

```
AgSbP2O8
1.0
4.8000 0.0000 0.0000
-2.4000 4.1569 0.0000
0.0000 0.0000 8.1645
O Ag Sb P
8 1 1 2
direct
0.9565 0.6509 0.3523 O
0.6667 0.3333 0.0971 O
0.3333 0.6667 0.9029 O
0.6509 0.6945 0.6477 O
0.0435 0.3491 0.6477 O
0.3491 0.3055 0.3523 O
0.6945 0.0435 0.3523 O
0.3055 0.9565 0.6477 O
0.0000 0.0000 0.0000 Ag
0.0000 0.0000 0.5000 Sb
0.3333 0.6667 0.7195 P
0.6667 0.3333 0.2805 P
```

***

No. 4
A plane-wave DFT calculation with PBE was carried out for a geometry-optimized BePb4W structure.

Summary:
ΔH_f (0 K)   1.47 eV per atom

```
BePb4W
1.0
2.0817 -4.8708 3.3529
-2.0575 -0.8828 5.8555
-3.8361 -4.7885 1.2859
Pb Be W
4 1 1
direct
0.3757 0.8729 0.3757 Pb
0.3757 0.3757 0.3757 Pb
0.3757 0.3757 0.8729 Pb
0.8729 0.3757 0.3757 Pb
0.0000 0.0000 0.0000 Be
0.7500 0.7500 0.7500 W
```

***

No. 5
A plane-wave DFT calculation with PBE was carried out for a geometry-optimized SrCa2HfSb structure.

Summary:
Energy relative to the elements, uncorrected   0.8195 eV/atom

```
SrCa2HfSb
1.0
5.7284 0.0000 0.0000
0.0000 5.9141 0.0000
0.0000 0.0000 5.7284
Ca Sb Hf Sr
2 1 1 1
direct
0.5000 0.0000 0.0000 Ca
0.0000 0.0000 0.5000 Ca
0.5000 0.5000 0.5000 Sb
0.0000 0.0000 0.0000 Hf
0.0000 0.5000 0.0000 Sr
```

***

No. 6
A plane-wave DFT calculation with PBE was carried out for a geometry-optimized Rb2AgS structure.

Summary:
Energy relative to the elements, uncorrected   -0.4518 eV/atom

```
Rb2AgS
1.0
-9.8156 -2.8683 -7.5842
8.0126 -1.6059 -9.7628
-0.6616 -4.6113 -8.0860
Ag Rb S
2 4 2
direct
0.7500 0.2500 0.5000 Ag
0.0000 0.0000 0.0000 Ag
0.4217 0.1250 0.2500 Rb
0.3750 0.5783 0.7500 Rb
0.8750 0.6717 0.7500 Rb
0.3283 0.6250 0.2500 Rb
0.5000 0.5000 0.0000 S
0.2500 0.7500 0.5000 S
```